Compound: CoBiSe
Source: the Alexandria database
Functional: PBE
Structure: relaxed

CIF file:
```
data_CoBiSe
_chemical_formula_sum 'Co4 Bi4 Se4'
_symmetry_space_group_name_H-M 'P 1 21/c 1'
_symmetry_Int_Tables_number 14
_symmetry_space_group_name_Hall '-P 2ybc'
_cell_length_a 6.437
_cell_length_b 6.143
_cell_length_c 6.465
_cell_angle_alpha 90.00
_cell_angle_beta 108.33
_cell_angle_gamma 90.00
loop_
_atom_site_label
_atom_site_type_symbol
_atom_site_fract_x
_atom_site_fract_y
_atom_site_fract_z
Co1 Co 0.223 0.018 0.236
Bi1 Bi 0.356 0.638 0.139
Se1 Se 0.139 0.138 0.862
```

Calculated values
- crystal system = monoclinic

Compound: BaBePb2
Source: the Alexandria database
Functional: PBE
Structure: relaxed

CIF file:
```
data_BaBePb2
_chemical_formula_sum 'Ba2 Be2 Pb4'
_symmetry_space_group_name_H-M 'I m m m'
_symmetry_Int_Tables_number 71
_symmetry_space_group_name_Hall '-I 2 2'
_cell_length_a 3.570
_cell_length_b 6.328
_cell_length_c 10.601
_cell_angle_alpha 90.00
_cell_angle_beta 90.00
_cell_angle_gamma 90.00
loop_
_atom_site_label
_atom_site_type_symbol
_atom_site_fract_x
_atom_site_fract_y
_atom_site_fract_z
Ba1 Ba 0.000 0.000 0.000
Be1 Be 0.000 0.000 0.500
Pb1 Pb 0.000 0.500 0.191
```

Calculated values
- crystal system = orthorhombic

Compound: Ho3ErTh4S8
Source: the Alexandria database
Functional: PBE
Structure: relaxed

CIF file:
```
data_Ho3ErTh4S8
_chemical_formula_sum 'Ho9 Er3 Th12 S24'
_symmetry_space_group_name_H-M 'R -3 m'
_symmetry_Int_Tables_number 166
_symmetry_space_group_name_Hall '-R 3 2"'
_cell_length_a 7.7719
_cell_length_b 7.7719
_cell_length_c 20.1584
_cell_angle_alpha 90.00
_cell_angle_beta 90.00
_cell_angle_gamma 120.00
loop_
_atom_site_label
_atom_site_type_symbol
_atom_site_fract_x
_atom_site_fract_y
_atom_site_fract_z
Ho1 Ho 0.0000 0.5000 0.0000
Er1 Er 0.0000 0.0000 0.0000
Th1 Th 0.0000 0.0000 0.5000
Th2 Th 0.0000 0.5000 0.5000
S1 S 0.0000 0.0000 0.2561
S2 S 0.0009 0.5004 0.7437
```

Calculated values
- crystal system = trigonal

Compound: AcPaBiSb
Source: the Alexandria database
Functional: PBE
Structure: relaxed

CIF file:
```
data_AcPaBiSb
_chemical_formula_sum 'Ac4 Pa4 Bi4 Sb4'
_symmetry_space_group_name_H-M 'F -4 3 m'
_symmetry_Int_Tables_number 216
_symmetry_space_group_name_Hall 'F -4 2 3'
_cell_length_a 7.919
_cell_length_b 7.919
_cell_length_c 7.919
_cell_angle_alpha 90.00
_cell_angle_beta 90.00
_cell_angle_gamma 90.00
loop_
_atom_site_label
_atom_site_type_symbol
_atom_site_fract_x
_atom_site_fract_y
_atom_site_fract_z
Ac1 Ac 0.000 0.000 0.000
Pa1 Pa 0.000 0.000 0.500
Bi1 Bi 0.250 0.250 0.750
Sb1 Sb 0.250 0.250 0.250
```

Calculated values
- crystal system = cubic

Compound: PuGa6Pd2
Source: the Alexandria database
Functional: PBE
Structure: relaxed

CIF file:
```
data_PuGa6Pd2
_chemical_formula_sum 'Pu2 Ga12 Pd4'
_symmetry_space_group_name_H-M 'I m m m'
_symmetry_Int_Tables_number 71
_symmetry_space_group_name_Hall '-I 2 2'
_cell_length_a 2.955
_cell_length_b 7.973
_cell_length_c 13.397
_cell_angle_alpha 90.00
_cell_angle_beta 90.00
_cell_angle_gamma 90.00
loop_
_atom_site_label
_atom_site_type_symbol
_atom_site_fract_x
_atom_site_fract_y
_atom_site_fract_z
Pu1 Pu 0.000 0.000 0.000
Ga1 Ga 0.000 0.163 0.500
Ga2 Ga 0.000 0.321 0.321
Pd1 Pd 0.000 0.500 0.139
```

Calculated values
- crystal system = orthorhombic

Compound: SrTaMnP2
Source: the Alexandria database
Functional: PBE
Structure: relaxed

CIF file:
```
data_SrTaMnP2
_chemical_formula_sum 'Sr2 Ta2 Mn2 P4'
_symmetry_space_group_name_H-M 'I -4 m 2'
_symmetry_Int_Tables_number 119
_symmetry_space_group_name_Hall 'I -4 -2'
_cell_length_a 3.901
_cell_length_b 3.901
_cell_length_c 12.813
_cell_angle_alpha 90.00
_cell_angle_beta 90.00
_cell_angle_gamma 90.00
loop_
_atom_site_label
_atom_site_type_symbol
_atom_site_fract_x
_atom_site_fract_y
_atom_site_fract_z
Sr1 Sr 0.000 0.000 0.000
Ta1 Ta 0.000 0.500 0.750
Mn1 Mn 0.000 0.500 0.250
P1 P 0.000 0.000 0.368
```

Calculated values
- crystal system = tetragonal

| no. | DOS(E_F) (states/eV/atom) | VASP energy (eV per atom) |
| --- | --- | --- |
| 1 | 0.495 | -4.99 |
| 2 | 0.614 | -3.12 |
| 3 | 0.320 | -6.97 |
| 4 | 1.171 | -5.85 |
| 5 | 1.021 | -5.08 |
| 6 | 0.373 | -7.45 |